Entry 1:
First-principles (PBE) data for an optimized crystal structure of CdNi2Pt, as listed in Alexandria via LeMat-Bulk.

The space group is P4mm (No. 99) and the conventional cell measures 2.882, 2.882 and 6.898 Å, with angles of 90.00, 90.00 and 90.00 degrees. The inequivalent atoms are Cd at (0.000, 0.000, 0.000), Ni at (0.000, 0.000, 0.461), Ni at (0.500, 0.500, 0.271) and Pt at (0.500, 0.500, 0.697).

The value obtained for the size of the total moment is 1.14 μB per formula unit. The calculation puts the mass density at 12315 kg/m³. For the energy of formation from the pure elements, the calculation gives -0.1 eV/f.u.


Entry 2:
First-principles (PBE) data for an optimized crystal structure of CdNiPt2, as listed in Alexandria via LeMat-Bulk.

The space group is C2/m (No. 12) and the conventional cell measures 9.241, 2.844 and 4.818 Å, with angles of 90.00, 101.84 and 90.00 degrees. The inequivalent atoms are Cd at (0.000, 0.000, 0.000), Ni at (0.000, 0.500, 0.500) and Pt at (0.243, 0.000, 0.737).

The value obtained for the size of the total moment is 0.38 μB per formula unit. The calculation puts the mass density at 15043 kg/m³. For the energy of formation from the pure elements, the calculation gives -0.5 eV/f.u.


Entry 3:
First-principles (PBE) data for an optimized crystal structure of Cd2NiPt, as listed in Alexandria via LeMat-Bulk.

The space group is F-43m (No. 216) and the conventional cell measures 6.442, 6.442 and 6.442 Å, with angles of 90.00, 90.00 and 90.00 degrees. The inequivalent atoms are Cd at (0.000, 0.000, 0.000), Cd at (0.250, 0.250, 0.250), Ni at (0.000, 0.000, 0.500) and Pt at (0.250, 0.250, 0.750).

The value obtained for the size of the total moment is 0.00 μB per formula unit. The calculation puts the mass density at 11892 kg/m³. For the energy of formation from the pure elements, the calculation gives -0.2 eV/f.u.


Entry 4:
First-principles (PBE) data for an optimized crystal structure of Cd4NiPt5, as listed in Alexandria via LeMat-Bulk.

The space group is P4/mmm (No. 123) and the conventional cell measures 2.987, 2.987 and 18.824 Å, with angles of 90.00, 90.00 and 90.00 degrees. The inequivalent atoms are Cd at (0.000, 0.000, 0.104), Cd at (0.000, 0.000, 0.313), Ni at (0.000, 0.000, 0.500), Pt at (0.500, 0.500, 0.000), Pt at (0.500, 0.500, 0.208) and Pt at (0.500, 0.500, 0.419).

The value obtained for the size of the total moment is 1.22 μB per formula unit. The calculation puts the mass density at 14665 kg/m³. For the energy of formation from the pure elements, the calculation gives -2.5 eV/f.u.


Entry 5:
First-principles (PBE) data for an optimized crystal structure of CdNi2Pt9, as listed in Alexandria via LeMat-Bulk.

The space group is P4/mmm (No. 123) and the conventional cell measures 3.936, 3.936 and 11.840 Å, with angles of 90.00, 90.00 and 90.00 degrees. The inequivalent atoms are Cd at (0.000, 0.000, 0.000), Ni at (0.000, 0.000, 0.340), Pt at (0.000, 0.500, 0.178), Pt at (0.000, 0.500, 0.500), Pt at (0.500, 0.500, 0.000) and Pt at (0.500, 0.500, 0.338).

The value obtained for the size of the total moment is 1.90 μB per formula unit. The calculation puts the mass density at 17979 kg/m³. For the energy of formation from the pure elements, the calculation gives -1.2 eV/f.u.


Entry 6:
First-principles (PBE) data for an optimized crystal structure of Cd2NiPt, as listed in Alexandria via LeMat-Bulk.

The space group is I-4m2 (No. 119) and the conventional cell measures 4.051, 4.051 and 8.119 Å, with angles of 90.00, 90.00 and 90.00 degrees. The inequivalent atoms are Cd at (0.000, 0.000, 0.000), Cd at (0.000, 0.500, 0.250), Ni at (0.000, 0.500, 0.750) and Pt at (0.000, 0.000, 0.500).

The value obtained for the size of the total moment is 0.00 μB per formula unit. The calculation puts the mass density at 11932 kg/m³. For the energy of formation from the pure elements, the calculation gives -0.3 eV/f.u.